Material: Na2CdBS4
Method: DFT, GGA-PBE
State: relaxed

Final energy, eV for the cell shown: -31.41
Symmetry: I-42m

Lattice parameters (Å, degrees): 6.4420 5.9066 5.9066 72.70 56.95 56.95
Closest atoms and distances in Å follow each position.
Element x y z (fractional)
Cd (0.0000, 0.0000, 0.0000)  4 S 2.59
Na (0.5000, 0.5000, 0.5000)  4 S 2.88, 2 Na 3.22
Na (0.0000, 0.5000, 0.5000)  4 S 2.88, 2 Na 3.22
S (0.1623, 0.3152, 0.0000)  1 B 1.94
B (0.5000, 0.0000, 0.0000)  4 S 1.94
S (0.5224, 0.0000, 0.3152)  1 B 1.94
S (0.4776, 0.6848, 0.0000)  1 B 1.94
S (0.8377, 0.0000, 0.6848)  1 B 1.94